Computed, not measured: a crystal of SmAlO3 relaxed with PBEsol at the meta-GGA SCAN level of DFT.

Calculated values
Calculated total energy (eV per atom): -17.8406

Cell: 5.2853 7.4563 5.2726 Å, 90.00 90.00 90.00°
With the nearest neighbours (Å) after each atom.
Space group Pnma (No. 62)
Asymmetric unit:
1 Sm 0.0327 0.2500 0.0081 (multiplicity 4)  6 O 2.32-2.50
2 Al 0.0000 0.0000 0.5000 (multiplicity 4)  6 O 1.90
3 O 0.0117 0.7500 0.4293 (multiplicity 4)  2 Al 1.90
4 O 0.2204 0.5379 0.7787 (multiplicity 8)  2 Al 1.90